No. 1
Cs2CuBr3, relaxed, DFT PBE; DFT total energy = -37.14 eV for the cell shown; total magnetization = 0.2 μB/cell; N(E_F) = 0.00 states/eV per atom; E_form (uncorrected) = -747 kJ/mol of formula units
1.0
9.9132 0.8007 0.5704
2.1355 7.2469 -0.2223
2.1355 2.1572 6.9220
Br Cu Cs
6 2 4
Direct
0.2500 0.3674 0.6326
0.4469 0.8017 0.8991
0.0531 0.1009 0.1983
0.7500 0.6326 0.3674
0.9469 0.8991 0.8017
0.5531 0.1983 0.1009
0.7500 0.9040 0.0960
0.2500 0.0960 0.9040
0.3410 0.8592 0.4503
0.1590 0.5497 0.1408
0.6590 0.1408 0.5497
0.8410 0.4503 0.8592

No. 2
Cs2DyCu2Br6, relaxed, DFT PBE; DFT total energy = -37.79 eV for the cell shown; total magnetization = 0.9 μB/cell; N(E_F) = 0.20 states/eV per atom; E_form (uncorrected) = -1279 kJ/mol of formula units
1.0
7.8501 0.0000 0.0000
-3.9250 6.8150 -0.3898
0.0000 -4.3340 7.6995
Br Cu Cs Dy
6 2 2 1
Direct
0.7395 0.4790 0.6362
0.2937 0.0776 0.7610
0.7839 0.0776 0.7610
0.2161 0.9224 0.2390
0.2605 0.5210 0.3638
0.7063 0.9224 0.2390
0.0405 0.0810 0.1594
0.9595 0.9190 0.8406
0.2846 0.5692 0.7974
0.7154 0.4308 0.2026
0.5000 0.0000 0.5000

No. 3
CsDyCuBr6, relaxed, DFT PBE; DFT total energy = -31.53 eV for the cell shown; total magnetization = 1.0 μB/cell; N(E_F) = 0.03 states/eV per atom; E_form (uncorrected) = -1152 kJ/mol of formula units
1.0
7.6874 0.0849 0.4940
3.9276 5.8447 0.1499
0.5563 -0.1377 8.0347
Br Dy Cs Cu
6 1 1 1
Direct
0.9896 0.6595 0.6435
0.3601 0.0631 0.6974
0.6260 0.4161 0.7759
0.0126 0.3622 0.2751
0.4003 0.5946 0.3375
0.5867 0.0082 0.2854
0.6694 0.6455 0.5132
0.0559 0.9152 0.0029
0.2992 0.3356 0.4689

No. 4
CsDyCuBr5, relaxed, DFT PBE; DFT total energy = -58.94 eV for the cell shown; total magnetization = 0.3 μB/cell; N(E_F) = 0.00 states/eV per atom; E_form (uncorrected) = -1115 kJ/mol of formula units
1.0
-1.2486 -2.6510 7.3796
4.6996 -5.3948 -3.4431
6.3817 8.4172 1.3735
Cs Br Dy Cu
2 10 2 2
Direct
0.6514 0.3486 0.7500
0.3486 0.6514 0.2500
0.3018 0.8942 0.6056
0.0689 0.9311 0.2500
0.6982 0.1058 0.3944
0.8942 0.3018 0.1056
0.6248 0.7776 0.9211
0.9311 0.0689 0.7500
0.1058 0.6982 0.8944
0.3752 0.2224 0.0789
0.7776 0.6248 0.4211
0.2224 0.3752 0.5789
0.0000 0.0000 0.0000
0.0000 0.0000 0.5000
0.3085 0.6915 0.7500
0.6915 0.3085 0.2500

No. 5
Cs2ErCuBr6, relaxed, DFT PBE; DFT total energy = -35.57 eV for the cell shown; total magnetization = 0.0 μB/cell; N(E_F) = 0.00 states/eV per atom; E_form (uncorrected) = -1463 kJ/mol of formula units
1.0
-0.3250 -4.5883 6.3310
-0.4969 -6.8493 -3.7512
5.4527 -6.1404 1.2844
Cs Br Cu Er
2 6 1 1
Direct
0.7500 0.2499 0.5000
0.2500 0.7501 0.5000
0.7645 0.7645 0.0001
0.7278 0.2722 0.0000
0.2355 0.2355 0.9999
0.2354 0.2354 0.5293
0.7646 0.7646 0.4707
0.2722 0.7278 0.0000
0.5000 0.5000 0.0000
0.0000 0.0000 0.0000

No. 6
Cs2ErCu2Br6, relaxed, DFT PBE; DFT total energy = -37.80 eV for the cell shown; total magnetization = 0.0 μB/cell; N(E_F) = 0.30 states/eV per atom; E_form (uncorrected) = -1283 kJ/mol of formula units
1.0
8.0754 0.0000 0.0000
-4.0377 7.5795 -0.0028
0.0000 -4.3410 6.9087
Br Cu Cs Er
6 2 2 1
Direct
0.7212 0.9871 0.2319
0.2658 0.9871 0.2319
0.2788 0.0129 0.7681
0.2848 0.5695 0.3003
0.7342 0.0129 0.7681
0.7152 0.4305 0.6997
0.0026 0.0053 0.6493
0.9974 0.9947 0.3507
0.2803 0.5606 0.7731
0.7197 0.4394 0.2269
0.5000 0.0000 0.5000

No. 7
Cs3ErCu2Br9, relaxed, DFT PBE; DFT total energy = -50.00 eV for the cell shown; total magnetization = 1.0 μB/cell; N(E_F) = 0.27 states/eV per atom; E_form (uncorrected) = -1894 kJ/mol of formula units
1.0
-2.3166 -7.0500 2.0752
7.5218 1.6344 -0.3566
-0.1625 2.7374 9.1184
Cu Er Br Cs
2 1 9 3
Direct
0.6667 0.3333 0.8679
0.3333 0.6667 0.1321
0.0000 0.0000 0.5000
0.6604 0.8302 0.3307
0.5000 0.0000 0.0000
0.1698 0.8302 0.3307
0.8302 0.6604 0.6693
0.1698 0.3396 0.3307
0.5000 0.5000 0.0000
0.3396 0.1698 0.6693
0.0000 0.5000 0.0000
0.8302 0.1698 0.6693
0.3333 0.6667 0.6705
0.0000 0.0000 0.0000
0.6667 0.3333 0.3295

No. 8
CsCu2BrF, relaxed, DFT PBE; DFT total energy = -8.46 eV for the cell shown; total magnetization = 0.5 μB/cell; N(E_F) = 5.87 states/eV per atom; E_form (uncorrected) = 398 kJ/mol of formula units
1.0
6.0122 0.0000 0.0000
0.0000 6.2267 0.0000
0.0000 0.0000 6.0122
Cs Cu F Br
1 2 1 1
Direct
0.0000 0.0000 0.0000
0.5000 0.0000 0.0000
0.0000 0.0000 0.5000
0.5000 0.5000 0.5000
0.0000 0.5000 0.0000

No. 9
CsCu2BrF2, relaxed, DFT PBE; DFT total energy = -44.79 eV for the cell shown; total magnetization = 0.0 μB/cell; E_form (uncorrected) = -765 kJ/mol of formula units
1.0
-4.8696 -0.8246 -0.8657
0.6360 -6.0741 2.2083
-2.0236 5.2534 6.3795
F Br Cu Cs
4 2 4 2
Direct
0.7500 0.3724 0.2814
0.2500 0.6276 0.7186
0.7500 0.8573 0.6438
0.2500 0.1427 0.3562
0.7500 0.7507 0.0613
0.2500 0.2493 0.9387
0.9994 0.1051 0.1483
0.5006 0.1051 0.1483
0.0006 0.8949 0.8517
0.4994 0.8949 0.8517
0.2500 0.6810 0.3885
0.7500 0.3190 0.6115

No. 10
CsCuBr2F, relaxed, DFT PBE; DFT total energy = -15.93 eV for the cell shown; total magnetization = 0.0 μB/cell; N(E_F) = 0.37 states/eV per atom; E_form (uncorrected) = -556 kJ/mol of formula units
1.0
-0.3851 -2.7835 4.6780
5.3921 -0.8383 -0.0549
0.5714 3.5345 2.1501
Br Cu F Cs
2 1 1 1
Direct
0.5000 0.0000 0.0000
0.0000 0.5000 0.0000
0.0000 0.0000 0.0000
0.0000 0.0000 0.5000
0.5000 0.5000 0.5000

No. 11
Cs2CuBr2F4, relaxed, DFT PBE; DFT total energy = -32.02 eV for the cell shown; total magnetization = 1.0 μB/cell; N(E_F) = 0.03 states/eV per atom; E_form (uncorrected) = -1484 kJ/mol of formula units
1.0
-1.6857 -2.2244 5.8994
-0.1716 -4.6797 -4.5457
6.1615 2.1452 -0.1626
F Cs Cu Br
4 2 1 2
Direct
0.6317 0.8159 0.8159
0.3683 0.1841 0.1841
0.0000 0.1841 0.8159
0.0000 0.8159 0.1841
0.5000 0.7500 0.2500
0.5000 0.2500 0.7500
0.0000 0.0000 0.0000
0.0000 0.6490 0.6490
0.0000 0.3510 0.3510

No. 12
CsCuBrF2, relaxed, DFT PBE; DFT total energy = -17.58 eV for the cell shown; total magnetization = 0.1 μB/cell; N(E_F) = 0.54 states/eV per atom; distance to the lowest polymorph of the same formula = 204.2 meV/atom; E_form (uncorrected) = -696 kJ/mol of formula units
1.0
4.6352 0.0000 0.0000
0.0000 4.6352 0.0000
0.0000 0.0000 4.7972
F Br Cs Cu
2 1 1 1
Direct
0.5000 0.0000 0.0000
0.0000 0.5000 0.0000
0.0000 0.0000 0.5000
0.5000 0.5000 0.5000
0.0000 0.0000 0.0000

No. 13
CsCuBrF2, relaxed, DFT PBE; DFT total energy = -37.21 eV for the cell shown; total magnetization = 1.9 μB/cell; N(E_F) = 0.48 states/eV per atom; distance to the lowest polymorph of the same formula = 0.0 meV/atom; E_form (uncorrected) = -795 kJ/mol of formula units
1.0
-1.4682 -2.8195 -2.4598
6.4017 2.0855 -2.9274
3.7243 -5.5780 4.1707
Br F Cu Cs
2 4 2 2
Direct
0.5257 0.0514 0.2500
0.4743 0.9486 0.7500
0.8706 0.7411 0.4657
0.8706 0.7411 0.0343
0.1294 0.2589 0.5343
0.1294 0.2589 0.9657
0.0000 0.0000 0.5000
0.0000 0.0000 0.0000
0.2689 0.5378 0.2500
0.7311 0.4622 0.7500

No. 14
Cs2FeCuBr6, relaxed, DFT PBE; DFT total energy = -33.71 eV for the cell shown; total magnetization = 4.4 μB/cell; N(E_F) = 1.27 states/eV per atom; distance to the lowest polymorph of the same formula = 14.1 meV/atom; E_form (uncorrected) = -907 kJ/mol of formula units
1.0
7.8238 0.0000 0.0000
0.0000 7.8238 0.0000
3.9119 3.9119 5.2518
Br Cu Cs Fe
6 1 2 1
Direct
0.2733 0.7267 0.0000
0.7761 0.7761 0.4479
0.2733 0.2733 0.0000
0.7267 0.2733 0.0000
0.2239 0.2239 0.5521
0.7267 0.7267 0.0000
0.0000 0.0000 0.0000
0.7500 0.2500 0.5000
0.2500 0.7500 0.5000
0.5000 0.5000 0.0000

No. 15
CsFe2CuBr8, relaxed, DFT PBE; DFT total energy = -43.42 eV for the cell shown; total magnetization = 10.0 μB/cell; N(E_F) = 0.04 states/eV per atom; E_form (uncorrected) = -788 kJ/mol of formula units
1.0
-3.4908 -0.3244 5.6862
-1.5941 -6.3315 1.4121
7.9132 -2.0923 6.4522
Fe Cu Br Cs
2 1 8 1
Direct
0.6111 0.6111 0.2027
0.3889 0.3889 0.7973
0.0000 0.0000 0.0000
0.7672 0.2671 0.8070
0.6803 0.6803 0.4048
0.3197 0.3197 0.5952
0.7681 0.7681 0.0156
0.2671 0.7672 0.8070
0.2319 0.2319 0.9844
0.7329 0.2328 0.1930
0.2328 0.7329 0.1930
0.0000 0.0000 0.5000

No. 16
Cs2FeCuBr6, relaxed, DFT PBE; DFT total energy = -67.69 eV for the cell shown; total magnetization = 9.4 μB/cell; N(E_F) = 0.65 states/eV per atom; distance to the lowest polymorph of the same formula = 0.0 meV/atom; E_form (uncorrected) = -921 kJ/mol of formula units
1.0
-7.2295 -2.0874 -1.1834
-4.4959 -1.6805 5.9149
-7.4770 10.7129 2.2652
Br Cu Cs Fe
12 2 4 2
Direct
0.7898 0.2963 0.1240
0.2102 0.7037 0.8760
0.7898 0.7898 0.1240
0.7037 0.2102 0.8760
0.3874 0.3874 0.3683
0.2102 0.2102 0.8760
0.6126 0.1430 0.6317
0.6126 0.6126 0.6317
0.3874 0.8570 0.3683
0.1430 0.6126 0.6317
0.2963 0.7898 0.1240
0.8570 0.3874 0.3683
0.0000 0.0000 0.0000
0.5000 0.5000 0.5000
0.1233 0.1233 0.6301
0.8767 0.8767 0.3699
0.7073 0.7073 0.8781
0.2927 0.2927 0.1219
0.5854 0.5854 0.2437
0.4146 0.4146 0.7563

No. 17
CsGaCuBr2, relaxed, DFT PBE; DFT total energy = -14.24 eV for the cell shown; total magnetization = 0.0 μB/cell; N(E_F) = 0.48 states/eV per atom; E_form (uncorrected) = -281 kJ/mol of formula units
1.0
5.7663 0.0000 0.0000
0.0000 4.7272 0.0000
0.0000 0.0000 5.7663
Cu Br Cs Ga
1 2 1 1
Direct
0.0000 0.0000 0.0000
0.0000 0.0000 0.5000
0.5000 0.0000 0.0000
0.5000 0.5000 0.5000
0.0000 0.5000 0.0000

No. 18
Cs2Cu2GeBr6, relaxed, DFT PBE; DFT total energy = -34.54 eV for the cell shown; total magnetization = 0.0 μB/cell; E_form (uncorrected) = -964 kJ/mol of formula units
1.0
7.9220 0.0000 0.0000
-3.9610 6.8501 -0.1220
0.0000 -4.1069 6.9286
Cu Ge Br Cs
2 1 6 2
Direct
0.0583 0.1167 0.1975
0.9417 0.8833 0.8025
0.5000 0.0000 0.5000
0.2332 0.9533 0.2240
0.2570 0.5140 0.2938
0.7430 0.4860 0.7062
0.7202 0.9533 0.2240
0.7668 0.0467 0.7760
0.2798 0.0467 0.7760
0.2633 0.5267 0.7769
0.7367 0.4733 0.2231

No. 19
Cs4CuGe3Br12, relaxed, DFT PBE; DFT total energy = -62.19 eV for the cell shown; total magnetization = 0.0 μB/cell; N(E_F) = 0.26 states/eV per atom; E_form (uncorrected) = -2003 kJ/mol of formula units
1.0
-6.3778 6.8916 -1.6803
-2.3848 -7.8103 -4.9301
0.1052 -2.0314 9.3196
Br Ge Cs Cu
12 3 4 1
Direct
0.7500 0.2500 0.5000
0.2452 0.2452 0.0000
0.5000 0.7500 0.2500
0.5000 0.2500 0.7500
0.2452 0.0000 0.2452
0.0000 0.7548 0.7548
0.7500 0.5000 0.2500
0.2500 0.5000 0.7500
0.7548 0.0000 0.7548
0.2500 0.7500 0.5000
0.0000 0.2452 0.2452
0.7548 0.7548 0.0000
0.5000 0.0000 0.5000
0.5000 0.5000 0.0000
0.0000 0.5000 0.5000
0.5000 0.5000 0.5000
0.0000 0.5000 0.0000
0.0000 0.0000 0.5000
0.5000 0.0000 0.0000
0.0000 0.0000 0.0000

No. 20
Cs3CuHg2Br8, relaxed, DFT PBE; DFT total energy = -34.54 eV for the cell shown; total magnetization = 0.0 μB/cell; N(E_F) = 0.15 states/eV per atom; E_form (uncorrected) = -1341 kJ/mol of formula units
1.0
7.8681 0.0000 0.0000
-3.9340 6.8140 0.0000
0.0000 0.0000 10.2790
Br Cs Hg Cu
8 3 2 1
Direct
0.6921 0.8460 0.3377
0.3079 0.1540 0.6623
0.8460 0.1540 0.6623
0.1540 0.3079 0.3377
0.6667 0.3333 0.0335
0.8460 0.6921 0.6623
0.1540 0.8460 0.3377
0.3333 0.6667 0.9665
0.0000 0.0000 0.0000
0.6667 0.3333 0.3786
0.3333 0.6667 0.6214
0.6667 0.3333 0.7817
0.3333 0.6667 0.2183
0.0000 0.0000 0.5000